Pu5HS4, relaxed, DFT GGA-PBE; space-group type = R-3m, No. 166; uncorrected energy = -10.548 eV/atom
1.0
1.951 1.126 15.858
-1.951 1.126 15.858
0.000 -2.253 15.858
Pu H S
5 1 4
Cartesian
0.000 0.000 0.000
0.000 0.000 9.246
0.000 0.000 19.162
0.000 0.000 28.411
0.000 0.000 38.327
0.000 0.000 23.786
0.000 0.000 4.952
0.000 0.000 14.206
0.000 0.000 33.366
0.000 0.000 42.620

***

Pd3SeI2, relaxed, DFT GGA-PBE; uncorrected formation energy = -0.06 eV per atom; space-group type = C2/c, No. 15
1.0
3.404 -6.064 0.000
3.404 6.064 0.000
-2.331 0.000 6.429
Pd Se I
6 2 4
Cartesian
1.702 3.032 0.000
0.142 0.773 3.116
-1.024 -0.773 6.330
0.536 -3.032 3.214
5.500 0.773 0.099
4.335 -0.773 3.313
2.821 4.775 1.607
1.656 -4.775 4.822
1.656 3.014 4.822
2.821 0.941 1.607
1.656 -0.941 4.822
2.821 -3.014 1.607

***

LiHfMnZn2, relaxed, DFT GGA-PBE; ΔH_f (0 K) = 0.731 eV/atom; space-group type = P4/mmm, No. 123
1.0
4.501 0.000 0.000
0.000 4.501 0.000
0.000 0.000 4.148
Li Hf Mn Zn
1 1 1 2
Cartesian
0.000 0.000 0.000
2.251 2.251 0.000
0.000 0.000 2.074
0.000 2.251 2.074
2.251 0.000 2.074

***

NdCd5, relaxed, DFT GGA-PBE; ΔH_f (0 K) = -0.194 eV/atom; space-group type = Cmmm, No. 65
1.0
4.708 0.000 0.000
0.000 12.931 0.000
0.000 0.000 4.812
Nd Cd
2 10
Cartesian
0.000 0.000 0.000
2.354 6.465 0.000
0.000 2.176 2.406
0.000 4.173 0.000
0.000 6.465 2.406
0.000 8.758 0.000
0.000 10.755 2.406
2.354 0.000 2.406
2.354 2.293 0.000
2.354 4.289 2.406
2.354 8.642 2.406
2.354 10.638 0.000

***

MgMnBe2, relaxed, DFT GGA-PBE; ΔH_f (0 K) = 0.239 eV/atom; space-group type = Imm2, No. 44
1.0
2.782 0.000 0.000
0.000 4.056 0.000
0.000 0.000 8.274
Mg Mn Be
2 2 4
Cartesian
0.000 0.000 0.000
1.391 2.028 4.137
0.000 2.028 6.432
1.391 0.000 2.295
0.000 0.000 4.347
0.000 2.028 1.908
1.391 0.000 6.045
1.391 2.028 0.210

***

CsNa2TlCd, relaxed, DFT GGA-PBE; ΔH_f (0 K) = -0.021 eV/atom; energy above the lowest structure with this stoichiometry = 0 meV per atom; space-group type = P4/mmm, No. 123
1.0
6.133 0.000 0.000
0.000 6.133 0.000
0.000 0.000 5.877
Cs Na Tl Cd
1 2 1 1
Cartesian
0.000 0.000 0.000
0.000 3.066 2.939
3.066 0.000 2.939
3.066 3.066 2.939
3.066 3.066 0.000

***

FeCo3, relaxed, DFT GGA-PBE; ΔH_f (0 K) = 0.040 eV/atom; space-group type = R-3m, No. 166
1.0
1.997 1.153 6.509
-1.997 1.153 6.509
0.000 -2.305 6.509
Fe Co
2 6
Cartesian
0.000 0.000 3.664
0.000 0.000 15.863
0.000 0.000 1.212
0.000 0.000 6.084
0.000 0.000 8.536
0.000 0.000 10.991
0.000 0.000 13.442
0.000 0.000 18.314

***

LiZrIr, relaxed, DFT GGA-PBE; ΔH_f (0 K) = 0.063 eV/atom; energy above the lowest structure with this stoichiometry = 462 meV per atom; space-group type = F-43m, No. 216
1.0
6.205 0.000 0.000
0.000 6.205 0.000
0.000 0.000 6.205
Li Zr Ir
4 4 4
Cartesian
0.000 0.000 0.000
0.000 3.102 3.102
3.102 0.000 3.102
3.102 3.102 0.000
1.551 1.551 4.653
1.551 4.653 1.551
4.653 1.551 1.551
4.653 4.653 4.653
0.000 0.000 3.102
0.000 3.102 0.000
3.102 0.000 0.000
3.102 3.102 3.102

***

Zn2InAs, relaxed, DFT GGA-PBE; ΔH_f (0 K) = 0.058 eV/atom; space-group type = Cm, No. 8
1.0
7.230 0.000 0.000
0.000 3.968 0.000
-2.144 0.000 5.953
Zn In As
4 2 2
Cartesian
0.000 0.000 0.000
1.299 1.984 1.329
3.615 1.984 0.000
4.914 0.000 1.329
-1.021 1.984 3.071
2.594 0.000 3.071
0.206 0.000 5.019
3.821 1.984 5.019

***

Cd2Co2P, relaxed, DFT GGA-PBE; ΔH_f (0 K) = -0.038 eV/atom; space-group type = P4/mbm, No. 127
1.0
5.774 0.000 0.000
0.000 5.774 0.000
0.000 0.000 4.521
Cd Co P
4 4 2
Cartesian
0.965 1.922 0.000
1.922 4.809 0.000
3.852 0.965 0.000
4.809 3.852 0.000
0.907 3.794 2.261
1.980 0.907 2.261
3.794 4.867 2.261
4.867 1.980 2.261
0.000 0.000 2.261
2.887 2.887 2.261

***

Pm2Y8Tm, relaxed, DFT GGA-PBE; ΔH_f (0 K) = 0.158 eV/atom; space-group type = C2/m, No. 12
1.0
4.530 -8.017 0.000
4.530 8.017 0.000
-3.133 0.000 5.004
Pm Y Tm
2 8 1
Cartesian
4.530 4.910 0.000
4.530 -4.910 0.000
-0.222 0.000 1.489
-0.012 1.841 4.171
2.963 3.332 2.502
-0.012 -1.841 4.171
5.938 1.841 0.833
2.963 -3.332 2.502
5.938 -1.841 0.833
6.148 0.000 3.515
2.963 0.000 2.502

***

SrMgZn2Ag2, relaxed, DFT GGA-PBE; ΔH_f (0 K) = -0.235 eV/atom; space-group type = P-3m1, No. 164
1.0
4.574 0.000 0.000
-2.287 3.962 0.000
0.000 0.000 7.390
Sr Mg Zn Ag
1 1 2 2
Cartesian
0.000 0.000 0.000
0.000 0.000 3.695
0.000 2.641 2.236
2.287 1.321 5.153
0.000 2.641 5.080
2.287 1.321 2.309